[1]
A plane-wave DFT calculation with PBE-GGA was carried out for crystalline Be2ReW at its relaxed geometry.

abc: 3.0836 3.0836 5.3750
angles: 90.00 90.00 90.00
With the nearest neighbours (Å) after each atom.
Fractional positions:
Re1 0.0000 0.0000 0.4926  5 Be 2.50-2.59, 4 W 2.57
W1 0.5000 0.5000 0.7473  4 Re 2.57, 6 Be 2.61-2.76
Be1 0.0000 0.0000 0.0267  4 Be 2.45, 1 Re 2.50, 4 W 2.65
Be2 0.5000 0.5000 0.2334  4 Be 2.45, 4 Re 2.59, 1 W 2.61

The energy above the most stable polymorph in this dataset is 404 meV per atom.



[2]
A plane-wave DFT calculation with PBE-GGA was carried out for crystalline Be17ReW at its relaxed geometry.

abc: 5.4716 5.4716 5.4716
angles: 83.20 83.20 83.20
With the nearest neighbours (Å) after each atom.
Fractional positions:
Be1 0.3011 0.0022 0.6960  8 Be 2.08-2.22
Be2 0.6960 0.3011 0.0022  8 Be 2.08-2.22
Be3 0.0022 0.6960 0.3011  8 Be 2.08-2.22
Be4 0.3011 0.6960 0.0022  8 Be 2.08-2.22
Be5 0.0022 0.3011 0.6960  8 Be 2.08-2.22
Be6 0.6960 0.0022 0.3011  8 Be 2.08-2.22
Be7 0.3500 0.8437 0.3500  9 Be 2.07-2.28
Be8 0.3500 0.3500 0.8437  9 Be 2.07-2.28
Be9 0.8437 0.3500 0.3500  9 Be 2.07-2.28
Be10 0.6478 0.1655 0.6478  8 Be 2.07-2.21
Be11 0.6478 0.6478 0.1655  8 Be 2.07-2.21
Be12 0.1655 0.6478 0.6478  8 Be 2.07-2.21
Be13 0.9969 0.5024 0.9969  10 Be 2.08-2.22
Be14 0.9969 0.9969 0.5024  10 Be 2.08-2.22
Be15 0.5024 0.9969 0.9969  10 Be 2.08-2.22
Be16 0.9004 0.9004 0.9004  7 Be 2.13-2.33
Be17 0.1021 0.1021 0.1021  7 Be 2.13-2.28
Re1 0.3372 0.3372 0.3372  13 Be 2.48-2.69
W1 0.6605 0.6605 0.6605  19 Be 2.53-2.75



[3]
A plane-wave DFT calculation with PBE-GGA was carried out for crystalline Be3ReW at its relaxed geometry.

abc: 4.1280 4.1280 4.1280
angles: 90.00 90.00 90.00
With the nearest neighbours (Å) after each atom.
Fractional positions:
Re1 0.5000 0.5000 0.5000  12 Be 2.92
W1 0.0000 0.0000 0.0000  6 Be 2.06
Be1 0.0000 0.5000 0.0000  2 W 2.06
Be2 0.0000 0.0000 0.5000  2 W 2.06
Be3 0.5000 0.0000 0.0000  2 W 2.06

The energy above the most stable polymorph in this dataset is 427 meV per atom.



[4]
A plane-wave DFT calculation with PBE-GGA was carried out for crystalline Be2ReW at its relaxed geometry.

abc: 4.5582 4.5582 2.6166
angles: 81.82 81.82 109.69
With the nearest neighbours (Å) after each atom.
Fractional positions:
Re1 0.5000 0.0000 0.5000  4 Be 2.46, 2 Re 2.62, 2 W 2.62
W1 0.0000 0.5000 0.5000  4 Be 2.46, 2 W 2.62, 2 Re 2.62
Be1 0.0000 0.0000 0.0000  2 W 2.46, 2 Re 2.46, 4 Be 2.62
Be2 0.5000 0.5000 0.0000  2 Re 2.46, 2 W 2.46, 4 Be 2.62

The energy above the most stable polymorph in this dataset is 379 meV per atom.



[5]
A plane-wave DFT calculation with PBE-GGA was carried out for crystalline Be2ReW at its relaxed geometry.

abc: 2.7188 2.7188 6.6221
angles: 90.00 90.00 101.12
With the nearest neighbours (Å) after each atom.
Fractional positions:
Re1 0.0000 0.0000 0.4555  2 Be 2.36
W1 0.5000 0.5000 0.7884  4 Be 2.42-2.70
Be1 0.0000 0.0000 0.0441  2 Be 2.05
Be2 0.5000 0.5000 0.2119  2 Be 2.05

The energy above the most stable polymorph in this dataset is 363 meV per atom.



[6]
A plane-wave DFT calculation with PBE-GGA was carried out for crystalline Be2ReW at its relaxed geometry.

abc: 4.1924 4.1924 4.1924
angles: 125.02 125.02 81.50
With the nearest neighbours (Å) after each atom.
Fractional positions:
Re1 0.2500 0.7500 0.5000  8 Be 2.50, 4 W 2.74
W1 0.7500 0.2500 0.5000  8 Be 2.50, 4 Re 2.74
Be1 0.0000 0.0000 0.0000  4 Re 2.50, 4 W 2.50, 4 Be 2.74
Be2 0.5000 0.5000 0.0000  4 Re 2.50, 4 W 2.50, 4 Be 2.74

The energy above the most stable polymorph in this dataset is 405 meV per atom.



| no. | ΔE_f (meV per atom) | DOS at the Fermi energy (states/eV per cell) |
| --- | --- | --- |
| 1 | 189 | 3.3 |
| 2 | -124 | 5.7 |
| 3 | 1740 | 1.7 |
| 4 | 163 | 1.9 |
| 5 | 148 | 2.6 |
| 6 | 190 | 2.6 |